No. 1
A plane-wave DFT calculation with PBE was carried out for NdSmThN3 after structural relaxation.

Lattice parameters (Å, degrees): 3.5979 6.2206 9.3503 101.12 90.00 90.00
With the nearest neighbours (Å) after each atom.
Positions (direct):
Th: 0.2500 0.7650 0.0478  6 N 2.39-2.60
N: 0.2500 0.7523 0.5066  3 Sm 2.37-2.56, 2 Nd 2.65
Sm: 0.2500 0.1542 0.6347  5 N 2.37-2.56
Th: 0.7500 0.2350 0.9522  6 N 2.39-2.60
N: 0.7500 0.2477 0.4934  3 Sm 2.37-2.56, 2 Nd 2.65
N: 0.7500 0.5412 0.1574  3 Th 2.43-2.60, 1 Sm 2.44
Nd: 0.7500 0.6622 0.6943  7 N 2.65-2.88
N: 0.2500 0.9619 0.8516  3 Th 2.39-2.53, 1 Sm 2.55
Nd: 0.2500 0.3378 0.3057  7 N 2.65-2.88
Sm: 0.7500 0.8458 0.3653  5 N 2.37-2.56
N: 0.2500 0.4588 0.8426  3 Th 2.43-2.60, 1 Sm 2.44
N: 0.7500 0.0381 0.1484  3 Th 2.39-2.53, 1 Sm 2.55

SG = No. 11
Total energy = -99.9 eV per cell
E_form (uncorrected) = -1342.3 meV/atom


No. 2
A plane-wave DFT calculation with PBE was carried out for CeMgCdPd after structural relaxation.

Lattice parameters (Å, degrees): 3.3209 3.3208 7.7817 90.00 90.00 90.00
With the nearest neighbours (Å) after each atom.
Positions (direct):
Cd: 0.1462 0.8538 0.6907  4 Mg 3.04, 4 Cd 3.32, 4 Ce 3.38
Mg: 0.6462 0.3538 0.4429  4 Pd 2.78, 4 Cd 3.04
Pd: 0.1463 0.8537 0.2514  4 Mg 2.78, 4 Ce 3.04
Ce: 0.6462 0.3538 0.0038  4 Pd 3.04, 4 Ce 3.32, 4 Cd 3.38

Offset from the most stable computed form = 0.000 eV/atom
Formation enthalpy at 0 K = -433 meV/atom
SG = No. 99
Total energy = -15.4 eV per cell


No. 3
A plane-wave DFT calculation with PBE was carried out for KRb2SnPt after structural relaxation.

Lattice parameters (Å, degrees): 6.6088 6.6088 5.1689 90.00 90.00 90.00
With the nearest neighbours (Å) after each atom.
Positions (direct):
Rb: 0.5000 0.0000 0.0000  2 Pt 3.30
Rb: 0.0000 0.5000 0.0000  2 Pt 3.30
Sn: 0.0000 0.0000 0.5000  2 Pt 2.58
K: 0.5000 0.5000 0.5000  8 Rb 4.20, 4 Sn 4.67
Pt: 0.0000 0.0000 0.0000  2 Sn 2.58

Formation enthalpy at 0 K = -115 meV/atom
SG = No. 123
Total energy = -13.7 eV per cell


| no. | M_tot (μB per formula unit) |
| --- | --- |
| 1 | 0.15 |
| 2 | 0.72 |
| 3 | 0.00 |